A plane-wave DFT calculation with PBE-GGA was carried out for an optimized crystal structure of KMg6SiO8.

Calculated values
formation energy (no corrections) = -2.096 eV/atom
energy above the most stable polymorph in this dataset = 56 meV per atom
crystal system = tetragonal
mass density = 3.3 g/cm³

Unit cell a=4.441 b=4.441 c=8.689 alpha=90.00 beta=90.00 gamma=90.00
Fractional positions:
O 0.000 0.000 0.724
O 0.500 0.500 0.766
O 0.500 0.000 0.500
O 0.500 0.500 0.234
O 0.500 0.000 0.000
O 0.000 0.500 0.000
O 0.000 0.000 0.276
O 0.000 0.500 0.500
Mg 0.000 0.500 0.253
Mg 0.500 0.000 0.253
Mg 0.500 0.500 0.500
Mg 0.000 0.000 0.500
Mg 0.500 0.000 0.747
Mg 0.000 0.500 0.747
Si 0.500 0.500 0.000
K 0.000 0.000 0.000